Entry from Alexandria: a geometry-optimized CoBi3Te structure (PBE-GGA).

Summary:
E_form (uncorrected)	296	meV/atom
theoretical density	9.70	Mg/m³

Lattice parameters (Å, degrees): 5.1839 5.1839 5.1839 90.00 90.00 90.00
Positions (direct):
Bi  0.0000  0.0000  0.5000
Bi  0.5000  0.0000  0.0000
Bi  0.0000  0.5000  0.0000
Co  0.0000  0.0000  0.0000
Te  0.5000  0.5000  0.5000



Entry from Alexandria: a geometry-optimized RbLaO2 structure (PBE-GGA).

Summary:
E_form (uncorrected)	-1990	meV/atom
theoretical density	6.62	Mg/m³

Lattice parameters (Å, degrees): 4.4965 4.4965 4.4965 60.00 60.00 60.00
Positions (direct):
O  0.2500  0.2500  0.2500
O  0.7500  0.7500  0.7500
Rb  0.0000  0.0000  0.0000
La  0.5000  0.5000  0.5000